Entry 1:
## CeErHgRh (PBE-GGA)

Data for crystalline CeErHgRh at its relaxed geometry.

a = 5.100 Å, b = 5.100 Å, c = 5.100 Å
α = 60.00°, β = 60.00°, γ = 60.00°
Positions (direct):
Ce: 0.750 0.750 0.750
Hg: 0.500 0.500 0.500
Rh: 0.000 0.000 0.000
Er: 0.250 0.250 0.250

## Properties
DFT formation energy   -0.500 eV/atom
DOS at the Fermi energy   6.8 states/eV/f.u.

***

Entry 2:
## K4Nb2Tc (PBE-GGA)

Data for crystalline K4Nb2Tc at its relaxed geometry.

a = 6.784 Å, b = 6.784 Å, c = 9.443 Å
α = 68.95°, β = 68.95°, γ = 90.00°
Positions (direct):
Nb: 0.435 0.435 0.130
K: 0.000 0.500 0.000
Nb: 0.565 0.565 0.870
K: 0.500 0.000 0.000
K: 0.206 0.206 0.588
K: 0.794 0.794 0.412
Tc: 0.000 0.000 0.000

## Properties
DFT formation energy   1.689 eV/atom
DOS at the Fermi energy   11.6 states/eV/f.u.

***

Entry 3:
## Re2SbOs (PBE-GGA)

Data for crystalline Re2SbOs at its relaxed geometry.

a = 2.989 Å, b = 2.989 Å, c = 7.259 Å
α = 90.00°, β = 90.00°, γ = 90.00°
Positions (direct):
Re: 0.500 0.500 0.233
Re: 0.000 0.000 0.002
Os: 0.500 0.500 0.762
Sb: 0.000 0.000 0.503

## Properties
DOS at the Fermi energy   2.0 states/eV/f.u.
E_form (uncorrected)   0.44 eV per atom

***

Entry 4:
## TiMnBeTe2 (PBE-GGA)

Data for crystalline TiMnBeTe2 at its relaxed geometry.

a = 5.297 Å, b = 4.511 Å, c = 5.297 Å
α = 90.00°, β = 90.00°, γ = 90.00°
Positions (direct):
Be: 0.000 0.500 0.000
Ti: 0.000 0.000 0.000
Te: 0.500 0.000 0.000
Te: 0.000 0.000 0.500
Mn: 0.500 0.500 0.500

## Properties
DOS at the Fermi energy   4.1 states/eV/f.u.
E_form (uncorrected)   0.61 eV per atom

***

Entry 5:
## ZrTeMo (PBE-GGA)

Data for crystalline ZrTeMo at its relaxed geometry.

a = 5.874 Å, b = 5.874 Å, c = 5.874 Å
α = 146.50°, β = 146.50°, γ = 48.10°
Positions (direct):
Mo: 0.988 0.988 0.000
Zr: 0.655 0.655 0.000
Te: 0.357 0.357 0.000

## Properties
DOS at the Fermi energy   2.1 states/eV/f.u.
E_form (uncorrected)   0.00 eV per atom

***

Entry 6:
## TlMo2Ru (PBE-GGA)

Data for crystalline TlMo2Ru at its relaxed geometry.

a = 4.566 Å, b = 4.566 Å, c = 4.566 Å
α = 60.00°, β = 60.00°, γ = 60.00°
Positions (direct):
Mo: 0.000 0.000 0.000
Tl: 0.750 0.750 0.750
Mo: 0.250 0.250 0.250
Ru: 0.500 0.500 0.500

## Properties
DFT formation energy   0.560 eV/atom
DOS at the Fermi energy   4.2 states/eV/f.u.

***

Entry 7:
## Li2PuS3 (PBE-GGA)

Data for crystalline Li2PuS3 at its relaxed geometry.

a = 4.416 Å, b = 7.499 Å, c = 7.499 Å
α = 115.07°, β = 90.00°, γ = 90.00°
Positions (direct):
S: 0.750 0.108 0.892
Pu: 0.250 0.248 0.752
S: 0.250 0.892 0.108
S: 0.250 0.835 0.536
Li: 0.500 0.800 0.800
Li: 0.500 0.200 0.200
Li: 0.000 0.800 0.800
Pu: 0.750 0.752 0.248
Li: 0.000 0.200 0.200
S: 0.750 0.536 0.835
S: 0.250 0.464 0.165
S: 0.750 0.165 0.464

## Properties
DOS at the Fermi energy   7.7 states/eV/f.u.
E_form (uncorrected)   -1.13 eV per atom

***

Entry 8:
## LiUPdSe3 (PBE-GGA)

Data for crystalline LiUPdSe3 at its relaxed geometry.

a = 3.795 Å, b = 7.537 Å, c = 8.938 Å
α = 102.42°, β = 90.00°, γ = 90.00°
Positions (direct):
Li: 0.750 0.335 0.835
U: 0.750 0.808 0.737
Se: 0.750 0.924 0.128
Se: 0.250 0.592 0.848
Se: 0.750 0.408 0.152
Se: 0.250 0.076 0.872
Li: 0.250 0.665 0.165
Pd: 0.750 0.901 0.405
U: 0.250 0.192 0.263
Se: 0.750 0.292 0.510
Pd: 0.250 0.099 0.595
Se: 0.250 0.708 0.490

## Properties
DOS at the Fermi energy   2.7 states/eV/f.u.
E_form (uncorrected)   -0.94 eV per atom

***

Entry 9:
## Li3Sm2S4 (PBE-GGA)

Data for crystalline Li3Sm2S4 at its relaxed geometry.

a = 3.956 Å, b = 3.956 Å, c = 13.901 Å
α = 90.59°, β = 89.41°, γ = 120.09°
Positions (direct):
Li: 0.000 0.000 0.000
S: 0.337 0.663 0.893
S: 0.991 0.009 0.350
S: 0.663 0.337 0.107
Li: 0.342 0.658 0.597
S: 0.009 0.991 0.650
Sm: 0.672 0.328 0.780
Li: 0.658 0.342 0.403
Sm: 0.328 0.672 0.220

## Properties
DOS at the Fermi energy   3.0 states/eV/f.u.
E_form (uncorrected)   -1.60 eV per atom

***

Entry 10:
## LiH3Pt (PBE-GGA)

Data for crystalline LiH3Pt at its relaxed geometry.

a = 3.343 Å, b = 3.343 Å, c = 9.010 Å
α = 79.31°, β = 79.31°, γ = 90.00°
Positions (direct):
Pt: 0.668 0.168 0.665
H: 0.352 0.352 0.295
H: 0.314 0.930 0.139
Li: 0.250 0.750 0.500
H: 0.070 0.686 0.861
H: 0.070 0.454 0.861
H: 0.648 0.648 0.705
H: 0.546 0.930 0.139
Li: 0.000 0.000 0.000
Pt: 0.832 0.332 0.335

## Properties
DOS at the Fermi energy   0.4 states/eV/f.u.
E   -35.426 eV for the cell shown

***

Entry 11:
## CaTlAu2 (PBE-GGA)

Data for crystalline CaTlAu2 at its relaxed geometry.

a = 6.645 Å, b = 6.645 Å, c = 6.645 Å
α = 55.10°, β = 152.35°, γ = 133.34°
Positions (direct):
Ca: 0.000 0.000 0.000
Au: 0.000 0.747 0.747
Tl: 0.000 0.500 0.500
Au: 0.000 0.253 0.253

## Properties
DFT formation energy   0.051 eV/atom
DOS at the Fermi energy   2.5 states/eV/f.u.

***

Entry 12:
## SmTc4B2 (PBE-GGA)

Data for crystalline SmTc4B2 at its relaxed geometry.

a = 4.013 Å, b = 4.051 Å, c = 6.951 Å
α = 106.94°, β = 90.00°, γ = 90.00°
Positions (direct):
Sm: 0.000 0.000 0.000
Tc: 0.000 0.309 0.617
Tc: 0.500 0.180 0.360
B: 0.500 0.379 0.758
Tc: 0.000 0.691 0.383
B: 0.500 0.621 0.242
Tc: 0.500 0.820 0.640

## Properties
DFT formation energy   -0.131 eV/atom
DOS at the Fermi energy   6.7 states/eV/f.u.

***

Q: DOS at the Fermi energy of number 3 (Re2SbOs)?
A: 2.0 states/eV/f.u.